This record from the Alexandria database describes crystalline CsBeP3 at its relaxed geometry. The functional is GGA-PBE.

Calculated values
Calculated volume ... 102.5 Å³/f.u.
Total moment ... 0.000 μB/atom
Polymorph energy (0 for the lowest one) ... 0.000 kcal/mol of atoms
Calculated formation energy ... 0.6245 eV per atom

Cell lengths 4.681, 4.681, 4.681 Å; angles 90.00, 90.00, 90.00 degrees
Fractional positions:
Cs1 0.500 0.500 0.500
P1 0.000 0.500 0.000
P2 0.000 0.000 0.500
P3 0.500 0.000 0.000
Be1 0.000 0.000 0.000